## Ta2IrAu (PBE-GGA)

Data for a relaxed Ta2IrAu crystal.

Summary:
- Crystal system: monoclinic
- ΔH_f (0 K): -39 meV per atom

Lattice parameters (Å, degrees): 4.9912 4.9912 4.9396 100.64 100.64 34.32
With the nearest neighbours (Å) after each atom.
Atoms (fractional coordinates):
Ta (0.2467, 0.2467, 0.2441)  6 Ta 2.84-2.95, 3 Ir 2.84-2.90, 3 Au 2.88-2.90
Ta (0.7533, 0.7533, 0.7559)  6 Ta 2.84-2.95, 3 Ir 2.84-2.90, 3 Au 2.88-2.90
Ir (0.5000, 0.5000, 0.0000)  6 Ta 2.84-2.90, 4 Au 2.88, 2 Ir 2.95
Au (0.0000, 0.0000, 0.5000)  4 Ir 2.88, 6 Ta 2.88-2.90, 2 Au 2.95

## TaIrAu4 (PBE-GGA)

Data for a relaxed TaIrAu4 crystal.

Summary:
- Crystal system: cubic
- ΔH_f (0 K): 473 meV per atom

Lattice parameters (Å, degrees): 5.3400 5.3400 5.3400 60.00 60.00 60.00
With the nearest neighbours (Å) after each atom.
Atoms (fractional coordinates):
Ta (0.0000, 0.0000, 0.0000)  12 Au 3.13, 4 Ir 3.27
Ir (0.2500, 0.2500, 0.2500)  12 Au 3.13, 4 Ta 3.27
Au (0.1250, 0.6250, 0.6250)  6 Au 2.67
Au (0.6250, 0.1250, 0.6250)  6 Au 2.67
Au (0.6250, 0.6250, 0.1250)  6 Au 2.67
Au (0.6250, 0.6250, 0.6250)  6 Au 2.67

## Ta2IrAu (PBE-GGA)

Data for a relaxed Ta2IrAu crystal.

Summary:
- Crystal system: orthorhombic
- ΔH_f (0 K): -243 meV per atom

Lattice parameters (Å, degrees): 3.1604 3.5613 6.1111 90.00 90.00 90.00
With the nearest neighbours (Å) after each atom.
Atoms (fractional coordinates):
Ta (0.0000, 0.0000, 0.0000)  4 Ir 2.70, 1 Au 2.92, 4 Ta 2.94
Ta (0.5000, 0.5000, 0.2833)  4 Au 2.79, 4 Ta 2.94, 2 Ir 3.00-3.11
Ir (0.5000, 0.5000, 0.7929)  5 Ta 2.70-3.00, 4 Au 2.90
Au (0.0000, 0.0000, 0.5215)  5 Ta 2.79-2.92, 4 Ir 2.90

## Ta2IrAu (PBE-GGA)

Data for a relaxed Ta2IrAu crystal.

Summary:
- Crystal system: monoclinic
- ΔH_f (0 K): -318 meV per atom

Lattice parameters (Å, degrees): 2.8923 4.0844 5.6776 90.00 90.10 90.00
With the nearest neighbours (Å) after each atom.
Atoms (fractional coordinates):
Ta (0.0013, 0.0000, 0.2613)  4 Ta 2.71-2.97, 4 Ir 2.84-2.85, 4 Au 2.91
Ta (0.9987, 0.0000, 0.7387)  4 Ta 2.71-2.97, 4 Ir 2.84-2.85, 4 Au 2.91
Ir (0.5000, 0.5000, 0.5000)  2 Au 2.84, 8 Ta 2.84-2.85, 2 Ir 2.89
Au (0.5000, 0.5000, 0.0000)  2 Ir 2.84, 2 Au 2.89, 8 Ta 2.91

## Ta2IrAu (PBE-GGA)

Data for a relaxed Ta2IrAu crystal.

Summary:
- Crystal system: tetragonal
- ΔH_f (0 K): -277 meV per atom

Lattice parameters (Å, degrees): 4.0139 4.0139 4.1433 90.00 90.00 90.00
With the nearest neighbours (Å) after each atom.
Atoms (fractional coordinates):
Ta (0.0000, 0.5000, 0.0000)  4 Ta 2.84, 4 Au 2.88, 4 Ir 2.88
Ta (0.5000, 0.0000, 0.0000)  4 Ta 2.84, 4 Au 2.88, 4 Ir 2.88
Ir (0.0000, 0.0000, 0.5000)  4 Au 2.84, 8 Ta 2.88
Au (0.5000, 0.5000, 0.5000)  4 Ir 2.84, 8 Ta 2.88

## TaIrAu2 (PBE-GGA)

Data for a relaxed TaIrAu2 crystal.

Summary:
- ΔE to the lowest computed polymorph: 321 meV/atom
- Crystal system: tetragonal
- ΔH_f (0 K): 176 meV per atom

Lattice parameters (Å, degrees): 3.5645 3.5645 5.4213 90.00 90.00 90.00
With the nearest neighbours (Å) after each atom.
Atoms (fractional coordinates):
Ta (0.0000, 0.0000, 0.0000)  2 Ir 2.71, 8 Au 2.86
Ir (0.0000, 0.0000, 0.5000)  2 Ta 2.71, 8 Au 2.86
Au (0.5000, 0.5000, 0.2510)  2 Au 2.70-2.72, 4 Ir 2.86, 4 Ta 2.86
Au (0.5000, 0.5000, 0.7490)  2 Au 2.70-2.72, 4 Ir 2.86, 4 Ta 2.86

## Ta2IrAu (PBE-GGA)

Data for a relaxed Ta2IrAu crystal.

Summary:
- Crystal system: orthorhombic
- ΔH_f (0 K): -90 meV per atom

Lattice parameters (Å, degrees): 5.6347 5.6347 5.6347 149.57 129.35 60.25
With the nearest neighbours (Å) after each atom.
Atoms (fractional coordinates):
Ta (0.0000, 0.0000, 0.0000)  4 Ir 2.83, 4 Ta 2.90-2.96, 2 Au 2.98
Ta (0.7446, 0.2446, 0.5000)  2 Ir 2.69, 4 Au 2.84, 4 Ta 2.90-2.96
Ir (0.5139, 0.5139, 0.0000)  6 Ta 2.69-2.83, 2 Au 2.84, 2 Ir 2.96
Au (0.2657, 0.7657, 0.5000)  6 Ta 2.84-2.98, 2 Ir 2.84, 2 Au 2.96

## TaIrAu2 (PBE-GGA)

Data for a relaxed TaIrAu2 crystal.

Summary:
- ΔE to the lowest computed polymorph: 249 meV/atom
- Crystal system: monoclinic
- ΔH_f (0 K): 104 meV per atom

Lattice parameters (Å, degrees): 5.7022 5.7022 2.9470 104.76 104.76 121.88
With the nearest neighbours (Å) after each atom.
Atoms (fractional coordinates):
Ta (0.0000, 0.0000, 0.0000)  4 Ir 2.77-2.79, 4 Au 2.86, 2 Ta 2.95
Ir (0.5000, 0.5000, 0.0000)  4 Ta 2.77-2.79, 4 Au 2.86, 2 Ir 2.95
Au (0.0000, 0.5000, 0.5000)  6 Au 2.77-2.95, 2 Ta 2.86, 2 Ir 2.86
Au (0.5000, 0.0000, 0.5000)  6 Au 2.77-2.95, 2 Ta 2.86, 2 Ir 2.86

| no. | electronic total energy (eV/cell) |
| --- | --- |
| 1 | -36.0 |
| 2 | -31.0 |
| 3 | -36.8 |
| 4 | -37.1 |
| 5 | -36.9 |
| 6 | -26.6 |
| 7 | -36.2 |
| 8 | -26.9 |